## CaTl4Pb (PBE)

Data for a geometry-optimized CaTl4Pb structure.

Crystal system = monoclinic
DOS at the Fermi energy = 0.629 states/eV per atom
Offset from the most stable computed form = 90 meV/atom
E_form = -40 meV/atom

a = 3.5890 Å, b = 5.7377 Å, c = 9.2468 Å
α = 90.00°, β = 89.99°, γ = 89.41°
With the nearest neighbours (Å) after each atom.
Sites, in units of the cell vectors:
1 Ca 0.5026 0.4972 0.9981  8 Tl 3.36-3.43, 2 Ca 3.59
2 Tl 0.5013 0.9972 0.1873  2 Ca 3.36, 2 Pb 3.39, 7 Tl 3.50-3.60
3 Tl 0.5000 0.9973 0.8091  2 Ca 3.36, 2 Pb 3.39, 7 Tl 3.50-3.60
4 Tl 0.0012 0.4973 0.6826  2 Pb 3.34, 7 Tl 3.41-3.60, 2 Ca 3.42-3.43
5 Tl 0.0020 0.4973 0.3135  2 Pb 3.34, 7 Tl 3.41-3.60, 2 Ca 3.42
6 Pb 0.0007 0.9974 0.4982  8 Tl 3.34-3.39, 2 Pb 3.59

## CaTl2Pb2 (PBE)

Data for a geometry-optimized CaTl2Pb2 structure.

Crystal system = tetragonal
DOS at the Fermi energy = 0.621 states/eV per atom
Offset from the most stable computed form = 128 meV/atom
E_form = -71 meV/atom

a = 4.6326 Å, b = 4.6326 Å, c = 8.4718 Å
α = 74.13°, β = 74.13°, γ = 90.00°
With the nearest neighbours (Å) after each atom.
Sites, in units of the cell vectors:
1 Pb 0.4029 0.4029 0.1942  1 Pb 3.04, 4 Tl 3.33
2 Pb 0.5971 0.5971 0.8058  1 Pb 3.04, 4 Tl 3.33
3 Tl 0.7500 0.2500 0.5000  4 Tl 3.28, 4 Pb 3.33
4 Tl 0.2500 0.7500 0.5000  4 Tl 3.28, 4 Pb 3.33
5 Ca 0.0000 0.0000 0.0000  8 Pb 3.61

## Ca3Tl6Pb (PBE)

Data for a geometry-optimized Ca3Tl6Pb structure.

Crystal system = trigonal
DOS at the Fermi energy = 0.510 states/eV per atom
E_form = -149 meV/atom

a = 6.5087 Å, b = 7.8555 Å, c = 7.8555 Å
α = 112.68°, β = 106.03°, γ = 106.03°
With the nearest neighbours (Å) after each atom.
Sites, in units of the cell vectors:
1 Ca 0.0160 0.5001 0.0000  8 Tl 3.47-3.61
2 Ca 0.0160 0.0000 0.5001  8 Tl 3.47-3.61
3 Ca 0.5159 0.4999 0.4999  8 Tl 3.47-3.61
4 Tl 0.5808 0.0000 0.6963  3 Tl 3.01-3.13, 1 Pb 3.14
5 Tl 0.5808 0.6963 0.0000  3 Tl 3.01-3.13, 1 Pb 3.14
6 Tl 0.4506 0.0000 0.2970  3 Tl 3.01-3.13, 1 Pb 3.15
7 Tl 0.4506 0.2970 0.0000  3 Tl 3.01-3.13, 1 Pb 3.15
8 Tl 0.1536 0.7030 0.7030  3 Tl 3.01-3.13, 1 Pb 3.15
9 Tl 0.8845 0.3037 0.3037  3 Tl 3.01-3.13, 1 Pb 3.14
10 Pb 0.0124 0.0000 0.0000  6 Tl 3.14-3.15

The highest DOS at the Fermi energy belongs to which entry?
CaTl4Pb